# Er3VO7

Er3VO7 after structural relaxation (GGA+U, Alexandria).

Structure (POSCAR):
```
Er3VO7
1.0
-3.357 3.157 -4.383
0.588 -6.029 -1.935
-6.140 -1.712 3.469
O Er V
14 6 2
direct
0.677 0.924 0.978
0.924 0.677 0.022
0.360 0.640 0.750
0.076 0.323 0.522
0.629 0.371 0.750
0.062 0.938 0.750
0.959 0.707 0.453
0.041 0.293 0.953
0.293 0.041 0.047
0.707 0.959 0.547
0.323 0.076 0.478
0.640 0.360 0.250
0.938 0.062 0.250
0.371 0.629 0.250
0.451 0.451 0.500
0.541 0.998 0.261
0.549 0.549 0.000
0.998 0.541 0.739
0.002 0.459 0.239
0.459 0.002 0.761
0.993 0.993 0.500
0.007 0.007 0.000
```

Computed properties:
For the total energy, the calculation gives -179.9 eV for the cell shown. The crystal system is orthorhombic.